VASP calculation (PBE-GGA) on a relaxed structure of MnP2Cl.

Geometry as CIF:
```
data_MnP2Cl
_chemical_formula_sum 'Mn2 P4 Cl2'
_cell_length_a 6.926
_cell_length_b 2.942
_cell_length_c 7.196
_cell_angle_alpha 90.00
_cell_angle_beta 110.52
_cell_angle_gamma 90.00
_symmetry_space_group_name_H-M 'C 1 2/m 1'
_symmetry_Int_Tables_number 12
loop_
_symmetry_equiv_pos_as_xyz
'x,y,z'
'-x,-y,-z'
'-x,y,-z'
'x,-y,z'
'x+1/2,y+1/2,z'
'-x+1/2,-y+1/2,-z'
'-x+1/2,y+1/2,-z'
'x+1/2,-y+1/2,z'
loop_
_atom_site_label
_atom_site_type_symbol
_atom_site_fract_x
_atom_site_fract_y
_atom_site_fract_z
Mn1 Mn 0.000 0.000 0.000
P1 P 0.148 0.500 0.847
Cl1 Cl 0.000 0.500 0.500
```

Computed properties:
The value obtained for the polymorph energy (0 for the lowest one) is 0.1166 eV/atom. The value obtained for the uncorrected formation energy is -0.1516 eV/atom. The value obtained for the electronic total energy is -5.611 eV/atom.

***

VASP calculation (PBE-GGA) on a relaxed structure of MnPCl2.

Geometry as CIF:
```
data_MnPCl2
_chemical_formula_sum 'Mn2 P2 Cl4'
_cell_length_a 3.550
_cell_length_b 5.423
_cell_length_c 11.279
_cell_angle_alpha 90.00
_cell_angle_beta 90.00
_cell_angle_gamma 90.00
_symmetry_space_group_name_H-M 'C m m m'
_symmetry_Int_Tables_number 65
_symmetry_space_group_name_Hall '-C 2 2'
loop_
_atom_site_label
_atom_site_type_symbol
_atom_site_fract_x
_atom_site_fract_y
_atom_site_fract_z
Mn1 Mn 0.000 0.000 0.000
P1 P 0.000 0.000 0.500
Cl1 Cl 0.000 0.500 0.146
```

Computed properties:
The value obtained for the polymorph energy (0 for the lowest one) is 0.6248 eV/atom. The value obtained for the uncorrected formation energy is 0.0853 eV/atom. The value obtained for the electronic total energy is -4.483 eV/atom.

***

VASP calculation (PBE-GGA) on a relaxed structure of Mn2PCl.

Geometry as CIF:
```
data_Mn2PCl
_chemical_formula_sum 'Mn4 P2 Cl2'
_cell_length_a 3.226
_cell_length_b 3.220
_cell_length_c 11.988
_cell_angle_alpha 90.00
_cell_angle_beta 90.00
_cell_angle_gamma 90.00
_symmetry_space_group_name_H-M 'A m m 2'
_symmetry_Int_Tables_number 38
loop_
_symmetry_equiv_pos_as_xyz
'x,y,z'
'-x,-y,z'
'-x,y,z'
'x,-y,z'
'x,y+1/2,z+1/2'
'-x,-y+1/2,z+1/2'
'-x,y+1/2,z+1/2'
'x,-y+1/2,z+1/2'
loop_
_atom_site_label
_atom_site_type_symbol
_atom_site_fract_x
_atom_site_fract_y
_atom_site_fract_z
Mn1 Mn 0.000 0.000 0.000
Mn2 Mn 0.500 0.000 0.180
P1 P 0.500 0.000 0.539
Cl1 Cl 0.000 0.000 0.797
```

Computed properties:
The value obtained for the polymorph energy (0 for the lowest one) is 0.1032 eV/atom. The value obtained for the uncorrected formation energy is -0.2992 eV/atom. The value obtained for the electronic total energy is -6.698 eV/atom.

***

VASP calculation (PBE-GGA) on a relaxed structure of Mn2PCl.

Geometry as CIF:
```
data_Mn2PCl
_chemical_formula_sum 'Mn4 P2 Cl2'
_cell_length_a 3.459
_cell_length_b 3.459
_cell_length_c 12.612
_cell_angle_alpha 90.00
_cell_angle_beta 90.00
_cell_angle_gamma 90.00
_symmetry_space_group_name_H-M 'I -4 m 2'
_symmetry_Int_Tables_number 119
_symmetry_space_group_name_Hall 'I -4 -2'
loop_
_atom_site_label
_atom_site_type_symbol
_atom_site_fract_x
_atom_site_fract_y
_atom_site_fract_z
Mn1 Mn 0.000 0.000 0.000
Mn2 Mn 0.000 0.500 0.250
P1 P 0.000 0.500 0.750
Cl1 Cl 0.000 0.000 0.500
```

Computed properties:
The value obtained for the polymorph energy (0 for the lowest one) is 0.5436 eV/atom. The value obtained for the uncorrected formation energy is 0.1411 eV/atom. The value obtained for the electronic total energy is -6.258 eV/atom.

***

VASP calculation (PBE-GGA) on a relaxed structure of MnPCl3.

Geometry as CIF:
```
data_MnPCl3
_chemical_formula_sum 'Mn1 P1 Cl3'
_cell_length_a 4.565
_cell_length_b 4.565
_cell_length_c 4.565
_cell_angle_alpha 90.00
_cell_angle_beta 90.00
_cell_angle_gamma 90.00
_symmetry_space_group_name_H-M 'P m -3 m'
_symmetry_Int_Tables_number 221
_symmetry_space_group_name_Hall '-P 4 2 3'
loop_
_atom_site_label
_atom_site_type_symbol
_atom_site_fract_x
_atom_site_fract_y
_atom_site_fract_z
Mn1 Mn 0.000 0.000 0.000
P1 P 0.500 0.500 0.500
Cl1 Cl 0.000 0.000 0.500
```

Computed properties:
The value obtained for the polymorph energy (0 for the lowest one) is 0.2437 eV/atom. The value obtained for the uncorrected formation energy is 0.4393 eV/atom. The value obtained for the electronic total energy is -3.585 eV/atom.

***

VASP calculation (PBE-GGA) on a relaxed structure of MnPCl2.

Geometry as CIF:
```
data_MnPCl2
_chemical_formula_sum 'Mn4 P4 Cl8'
_cell_length_a 6.661
_cell_length_b 6.661
_cell_length_c 6.661
_cell_angle_alpha 90.00
_cell_angle_beta 90.00
_cell_angle_gamma 90.00
_symmetry_space_group_name_H-M 'F m -3 m'
_symmetry_Int_Tables_number 225
_symmetry_space_group_name_Hall '-F 4 2 3'
loop_
_atom_site_label
_atom_site_type_symbol
_atom_site_fract_x
_atom_site_fract_y
_atom_site_fract_z
Mn1 Mn 0.000 0.000 0.000
P1 P 0.000 0.000 0.500
Cl1 Cl 0.250 0.250 0.250
```

Computed properties:
The value obtained for the polymorph energy (0 for the lowest one) is 0.9917 eV/atom. The value obtained for the uncorrected formation energy is 0.4522 eV/atom. The value obtained for the electronic total energy is -4.116 eV/atom.

***

VASP calculation (PBE-GGA) on a relaxed structure of Mn2PCl.

Geometry as CIF:
```
data_Mn2PCl
_chemical_formula_sum 'Mn4 P2 Cl2'
_cell_length_a 7.149
_cell_length_b 6.913
_cell_length_c 3.058
_cell_angle_alpha 90.00
_cell_angle_beta 114.71
_cell_angle_gamma 90.00
_symmetry_space_group_name_H-M 'C 1 2/m 1'
_symmetry_Int_Tables_number 12
loop_
_symmetry_equiv_pos_as_xyz
'x,y,z'
'-x,-y,-z'
'-x,y,-z'
'x,-y,z'
'x+1/2,y+1/2,z'
'-x+1/2,-y+1/2,-z'
'-x+1/2,y+1/2,-z'
'x+1/2,-y+1/2,z'
loop_
_atom_site_label
_atom_site_type_symbol
_atom_site_fract_x
_atom_site_fract_y
_atom_site_fract_z
Mn1 Mn 0.250 0.250 0.000
P1 P 0.000 0.000 0.500
Cl1 Cl 0.000 0.500 0.500
```

Computed properties:
The value obtained for the polymorph energy (0 for the lowest one) is 0.4760 eV/atom. The value obtained for the uncorrected formation energy is 0.0736 eV/atom. The value obtained for the electronic total energy is -6.325 eV/atom.

***

VASP calculation (PBE-GGA) on a relaxed structure of MnPCl2.

Geometry as CIF:
```
data_MnPCl2
_chemical_formula_sum 'Mn2 P2 Cl4'
_cell_length_a 3.139
_cell_length_b 6.557
_cell_length_c 9.014
_cell_angle_alpha 90.00
_cell_angle_beta 90.00
_cell_angle_gamma 90.00
_symmetry_space_group_name_H-M 'C m m 2'
_symmetry_Int_Tables_number 35
loop_
_symmetry_equiv_pos_as_xyz
'x,y,z'
'-x,-y,z'
'-x,y,z'
'x,-y,z'
'x+1/2,y+1/2,z'
'-x+1/2,-y+1/2,z'
'-x+1/2,y+1/2,z'
'x+1/2,-y+1/2,z'
loop_
_atom_site_label
_atom_site_type_symbol
_atom_site_fract_x
_atom_site_fract_y
_atom_site_fract_z
Mn1 Mn 0.000 0.000 0.000
P1 P 0.000 0.500 0.187
Cl1 Cl 0.000 0.000 0.404
Cl2 Cl 0.000 0.500 0.810
```

Computed properties:
The value obtained for the polymorph energy (0 for the lowest one) is 0.4848 eV/atom. The value obtained for the uncorrected formation energy is -0.0548 eV/atom. The value obtained for the electronic total energy is -4.623 eV/atom.

***

VASP calculation (PBE-GGA) on a relaxed structure of MnP3Cl.

Geometry as CIF:
```
data_MnP3Cl
_chemical_formula_sum 'Mn1 P3 Cl1'
_cell_length_a 4.566
_cell_length_b 4.566
_cell_length_c 4.566
_cell_angle_alpha 90.00
_cell_angle_beta 90.00
_cell_angle_gamma 90.00
_symmetry_space_group_name_H-M 'P m -3 m'
_symmetry_Int_Tables_number 221
_symmetry_space_group_name_Hall '-P 4 2 3'
loop_
_atom_site_label
_atom_site_type_symbol
_atom_site_fract_x
_atom_site_fract_y
_atom_site_fract_z
Mn1 Mn 0.000 0.000 0.000
P1 P 0.000 0.500 0.500
Cl1 Cl 0.500 0.500 0.500
```

Computed properties:
The value obtained for the polymorph energy (0 for the lowest one) is 0.9630 eV/atom. The value obtained for the uncorrected formation energy is 1.3637 eV/atom. The value obtained for the electronic total energy is -4.085 eV/atom.

***

VASP calculation (PBE-GGA) on a relaxed structure of Mn2PCl.

Geometry as CIF:
```
data_Mn2PCl
_chemical_formula_sum 'Mn8 P4 Cl4'
_cell_length_a 5.054
_cell_length_b 5.054
_cell_length_c 10.056
_cell_angle_alpha 90.00
_cell_angle_beta 90.00
_cell_angle_gamma 90.00
_symmetry_space_group_name_H-M 'I -4 2 d'
_symmetry_Int_Tables_number 122
_symmetry_space_group_name_Hall 'I -4 2bw'
loop_
_atom_site_label
_atom_site_type_symbol
_atom_site_fract_x
_atom_site_fract_y
_atom_site_fract_z
Mn1 Mn 0.246 0.250 0.125
P1 P 0.000 0.000 0.000
Cl1 Cl 0.000 0.000 0.500
```

Computed properties:
The value obtained for the polymorph energy (0 for the lowest one) is 0.6608 eV/atom. The value obtained for the uncorrected formation energy is 0.2584 eV/atom. The value obtained for the electronic total energy is -6.141 eV/atom.

***

- Which value of polymorph energy (0 for the lowest one) does entry 6 give?
  0.9917 eV/atom